Record 1
CsCoBiSe3 after structural relaxation. Source: OQMD via LeMat-Bulk, functional GGA-PBE.

Cell lengths 4.2260, 15.9317, 11.3856 Å; angles 90.00, 90.00, 90.00 degrees
Last column: nearest neighbours and their distance in Å.
Space group Cmcm (No. 63)
Asymmetric unit:
Cs 0.0000 0.2390 0.2500  8 Se 3.71-4.11, 2 Co 4.13
Co 0.0000 0.0382 0.7500  4 Se 2.42-2.50
Bi 0.0000 0.5000 0.0000  6 Se 2.94-2.95
Se 0.0000 0.1194 0.5703  1 Co 2.42
Se 0.0000 0.4544 0.7500  2 Co 2.50

E_tot (eV per atom): -4.240
Spin magnetization (μB per formula unit): 3.00

***

Record 2
Al4Re2Au after structural relaxation. Source: OQMD via LeMat-Bulk, functional GGA-PBE.

Cell lengths 4.7916, 4.7916, 12.6483 Å; angles 90.00, 90.00, 90.00 degrees
Last column: nearest neighbours and their distance in Å.
Space group I4/mmm (No. 139)
Asymmetric unit:
Al 0.0000 0.0000 0.2000  1 Au 2.53, 1 Re 2.60
Al 0.0000 0.5000 0.0000  2 Au 2.40, 4 Re 2.68
Re 0.0000 0.0000 0.4056  1 Re 2.39, 1 Al 2.60
Au 0.0000 0.0000 0.0000  6 Al 2.40-2.53

E_tot (eV per atom): -5.385
Spin magnetization (μB per formula unit): 0.01

***

Record 3
Re2Ge2O5 after structural relaxation. Source: OQMD via LeMat-Bulk, functional GGA-PBE.

Cell lengths 3.9180, 3.9180, 6.7614 Å; angles 90.00, 90.00, 90.00 degrees
Last column: nearest neighbours and their distance in Å.
Space group P4/mmm (No. 123)
Asymmetric unit:
Re 0.0000 0.0000 0.1761  5 O 2.00-2.19
Ge 0.5000 0.5000 0.0000  8 O 2.53
Ge 0.5000 0.5000 0.5000  12 O 2.65-2.77
O 0.0000 0.0000 0.5000  2 Re 2.19
O 0.0000 0.5000 0.2362  2 Re 2.00

E_tot (eV per atom): -7.248
Spin magnetization (μB per formula unit): 0.00

***

Record 4
TbMgCuTeS2 after structural relaxation. Source: OQMD via LeMat-Bulk, functional GGA-PBE.

Cell lengths 3.8191, 13.1565, 10.8249 Å; angles 90.00, 90.00, 90.00 degrees
Last column: nearest neighbours and their distance in Å.
Space group Cmcm (No. 63)
Asymmetric unit:
Tb 0.0000 0.0000 0.0000  4 S 2.75
Mg 0.0000 0.1942 0.2500  4 S 2.72, 2 Cu 3.02
Cu 0.0000 0.4839 0.7500  2 S 2.31
Te 0.0000 0.1214 0.7500  2 Cu 2.63
S 0.0000 0.3689 0.5883  1 Cu 2.31

E_tot (eV per atom): -4.678
Spin magnetization (μB per formula unit): 0.00

***

Record 5
BaErTa after structural relaxation. Source: OQMD via LeMat-Bulk, functional GGA-PBE.

Cell lengths 7.2628, 7.2628, 7.2628 Å; angles 90.00, 90.00, 90.00 degrees
Last column: nearest neighbours and their distance in Å.
Space group F-43m (No. 216)
Asymmetric unit:
Ba 0.0000 0.0000 0.0000  4 Er 3.14, 4 Ta 3.14
Er 0.2500 0.2500 0.7500  4 Ba 3.14
Ta 0.2500 0.2500 0.2500  4 Ba 3.14

E_tot (eV per atom): -4.305
Spin magnetization (μB per formula unit): 2.11

***

Record 6
ZnF2 after structural relaxation. Source: OQMD via LeMat-Bulk, functional GGA-PBE.

Cell lengths 3.1482, 5.3389, 8.1832 Å; angles 90.00, 90.00, 90.00 degrees
Last column: nearest neighbours and their distance in Å.
Space group Cmce (No. 64)
Asymmetric unit:
Zn 0.0000 0.0000 0.0000  6 F 2.04-2.05
F 0.0000 0.1651 0.3804  3 Zn 2.04-2.05

E_tot (eV per atom): -3.874

***

Record 7
Ta2InAu2 after structural relaxation. Source: OQMD via LeMat-Bulk, functional GGA-PBE.

Cell lengths 3.9409, 3.9409, 13.1725 Å; angles 90.00, 90.00, 90.00 degrees
Last column: nearest neighbours and their distance in Å.
Space group I4/mmm (No. 139)
Asymmetric unit:
Ta 0.0000 0.5000 0.2500  4 Ta 2.79, 4 Au 2.79
In 0.0000 0.0000 0.0000  8 Au 3.08
Au 0.0000 0.0000 0.3997  1 Au 2.64, 4 Ta 2.79

E_tot (eV per atom): -6.282
Spin magnetization (μB per formula unit): 0.00

***

Record 8
YLu2Ni after structural relaxation. Source: OQMD via LeMat-Bulk, functional GGA-PBE.

Cell lengths 7.2807, 7.2807, 7.2807 Å; angles 90.00, 90.00, 90.00 degrees
Last column: nearest neighbours and their distance in Å.
Space group F-43m (No. 216)
Asymmetric unit:
Y 0.0000 0.0000 0.0000  4 Ni 3.15, 4 Lu 3.15
Lu 0.0000 0.0000 0.5000  4 Lu 3.15, 4 Ni 3.15
Lu 0.2500 0.2500 0.2500  4 Y 3.15, 4 Lu 3.15
Ni 0.2500 0.2500 0.7500  4 Y 3.15, 4 Lu 3.15

E_form (eV/f.u.): 0.6
Spin magnetization (μB per formula unit): 0.00

***

Record 9
FeCoCuBi after structural relaxation. Source: OQMD via LeMat-Bulk, functional GGA-PBE.

Cell lengths 6.2373, 6.2373, 6.2373 Å; angles 90.00, 90.00, 90.00 degrees
Last column: nearest neighbours and their distance in Å.
Space group F-43m (No. 216)
Asymmetric unit:
Fe 0.0000 0.0000 0.0000  4 Co 2.70, 4 Cu 2.70
Co 0.2500 0.2500 0.2500  4 Fe 2.70, 4 Bi 2.70
Cu 0.2500 0.2500 0.7500  4 Fe 2.70, 4 Bi 2.70
Bi 0.0000 0.0000 0.5000  4 Co 2.70, 4 Cu 2.70

E_tot (eV per atom): -5.358
Spin magnetization (μB per formula unit): 4.17

***

Record 10
YInCuRe after structural relaxation. Source: OQMD via LeMat-Bulk, functional GGA-PBE.

Cell lengths 6.7501, 6.7501, 6.7501 Å; angles 90.00, 90.00, 90.00 degrees
Last column: nearest neighbours and their distance in Å.
Space group F-43m (No. 216)
Asymmetric unit:
Y 0.0000 0.0000 0.0000  4 In 2.92, 4 Re 2.92
In 0.2500 0.2500 0.2500  4 Cu 2.92, 4 Y 2.92
Cu 0.0000 0.0000 0.5000  4 Re 2.92, 4 In 2.92
Re 0.2500 0.2500 0.7500  4 Y 2.92, 4 Cu 2.92

E_tot (eV per atom): -5.760
Spin magnetization (μB per formula unit): 0.00

***

Record 11
Au2SeO after structural relaxation. Source: OQMD via LeMat-Bulk, functional GGA-PBE.

Cell lengths 3.5514, 7.8649, 5.4140 Å; angles 90.00, 90.00, 90.00 degrees
Last column: nearest neighbours and their distance in Å.
Space group Pmc2_1 (No. 26)
Asymmetric unit:
Au 0.0000 0.1060 0.0000  1 O 2.09
Au 0.5000 0.3391 0.4987  2 O 2.27, 1 Se 2.52
Se 0.5000 0.3401 0.9987  5 Au 2.52-2.71
O 0.0000 0.1593 0.5008  3 Au 2.09-2.27

E_tot (eV per atom): -3.481

***

Record 12
NiBr after structural relaxation. Source: OQMD via LeMat-Bulk, functional GGA-PBE.

Cell lengths 4.1961, 4.0532, 5.9885 Å; angles 90.00, 90.00, 90.00 degrees
Last column: nearest neighbours and their distance in Å.
Space group Pmma (No. 51)
Asymmetric unit:
Ni 0.2500 0.0000 0.0919  2 Br 2.27, 2 Ni 2.37
Br 0.2500 0.5000 0.2630  2 Ni 2.27

E_tot (eV per atom): -3.458
Spin magnetization (μB per formula unit): 1.00